1.
Ba3TlI7: relaxed, GGA-PBE.

The calculation puts the density of states at the Fermi level at 0.000 states/eV/atom. As for the theoretical density: 4.356 g/cm³. As for the energy: -3.28 eV per atom. The uncorrected formation energy comes out at -149.7 kJ per mole of atoms.

The structure belongs to space group C222_1 (No. 20); the cell edges are 12.059, 16.524 and 11.515 Å and the angles 90.00°, 90.00° and 90.00°. The distinct sites, in fractional coordinates, are Ba at (0.000, 0.000, 0.000), Ba at (0.228, 0.265, 0.250), Tl at (0.000, 0.500, 0.000), I at (0.000, 0.127, 0.250), I at (0.000, 0.140, 0.750), I at (0.000, 0.390, 0.250), I at (0.242, 0.376, 0.520) and I at (0.243, 0.376, 0.981).

=====

2.
Tl2CdGa: relaxed, GGA-PBE.

The calculation puts the density of states at the Fermi level at 0.330 states/eV/atom. The formation energy from the elements comes out at 0.083 eV per atom. As for the theoretical density: 9.326 g/cm³. As for the energy: -2.09 eV per atom.

The structure belongs to space group P4/mmm (No. 123); the cell edges are 3.755, 3.755 and 7.462 Å and the angles 90.00°, 90.00° and 90.00°. The distinct sites, in fractional coordinates, are Tl at (0.000, 0.000, 0.245), Cd at (0.500, 0.500, 0.500) and Ga at (0.500, 0.500, 0.000).

=====

3.
AsOs2Se: relaxed, GGA-PBE.

The calculation puts the density of states at the Fermi level at 0.878 states/eV/atom. As for the theoretical density: 13.798 g/cm³. As for the energy: -6.78 eV per atom. The uncorrected formation energy comes out at 84.3 kJ per mole of atoms.

The structure belongs to space group Cmmm (No. 65); the cell edges are 2.918, 5.089 and 8.660 Å and the angles 90.00°, 90.00° and 90.00°. The distinct sites, in fractional coordinates, are As at (0.000, 0.000, 0.000), Os at (0.000, 0.500, 0.228) and Se at (0.000, 0.000, 0.500).